First-principles (SCAN) data for a crystal of AgPt4 relaxed with PBEsol, as listed in Alexandria.

Results
Uncorrected energy ... -62.38 eV per atom
Size of the total moment ... 0.17 μB per formula unit
Formation energy ... 0.05 eV per atom

Unit cell a=2.745 b=4.824 c=6.294 alpha=74.43 beta=77.41 gamma=73.47
Element x y z (fractional)
Pt (0.396, 0.799, 0.408)
Pt (0.197, 0.407, 0.198)
Pt (0.604, 0.201, 0.592)
Pt (0.803, 0.593, 0.802)
Ag (0.000, 0.000, 0.000)